A.
The following is a PBE calculation of crystalline LiYSc2 at its relaxed geometry, from Alexandria via LeMat-Bulk.

Cell: 11.757 11.757 11.757 Å, 16.08 16.08 16.08°
Positions (direct):
Y 0.500 0.500 0.500
Sc 0.913 0.913 0.913
Sc 0.087 0.087 0.087
Li 0.000 0.000 0.000

Computed properties:
volume	108.65	Å³/cell

***

B.
The following is a PBE calculation of crystalline LiYSc2 at its relaxed geometry, from Alexandria via LeMat-Bulk.

Cell: 3.347 4.809 6.375 Å, 90.00 90.00 90.00°
Positions (direct):
Li 0.500 0.500 0.750
Sc 0.000 0.000 0.998
Sc 0.000 0.000 0.502
Y 0.500 0.500 0.250

Computed properties:
volume	102.59	Å³/cell

***

C.
The following is a PBE calculation of crystalline LiYSc2 at its relaxed geometry, from Alexandria via LeMat-Bulk.

Cell: 5.098 3.298 6.211 Å, 75.06 90.00 90.00°
Positions (direct):
Li 0.500 0.750 0.750
Sc 0.000 0.911 0.986
Sc 0.000 0.589 0.514
Y 0.500 0.250 0.250

Computed properties:
volume	100.90	Å³/cell

***

C comes first in stability; the runner-up is 34 meV per atom higher.

***

A.
The following is a PBE calculation of crystalline LiY3Sc at its relaxed geometry, from Alexandria via LeMat-Bulk.

Cell: 5.331 5.331 5.331 Å, 90.00 90.00 90.00°
Positions (direct):
Y 0.000 0.500 0.000
Y 0.000 0.000 0.500
Y 0.500 0.000 0.000
Sc 0.500 0.500 0.500
Li 0.000 0.000 0.000

Computed properties:
volume	151.50	Å³/cell

***

B.
The following is a PBE calculation of crystalline LiY3Sc at its relaxed geometry, from Alexandria via LeMat-Bulk.

Cell: 5.578 5.578 5.578 Å, 90.00 90.00 90.00°
Positions (direct):
Y 0.000 0.500 0.000
Y 0.000 0.000 0.500
Y 0.500 0.000 0.000
Sc 0.000 0.000 0.000
Li 0.500 0.500 0.500

Computed properties:
volume	173.57	Å³/cell

***

A comes first in stability; the runner-up is 139 meV per atom higher.

***

A.
The following is a PBE calculation of crystalline LiYSc at its relaxed geometry, from Alexandria via LeMat-Bulk.

Cell: 3.756 3.756 11.023 Å, 90.00 90.00 90.00°
Positions (direct):
Sc 0.000 0.500 0.572
Sc 0.500 0.000 0.428
Y 0.500 0.000 0.753
Y 0.000 0.500 0.247
Li 0.000 0.500 0.936
Li 0.500 0.000 0.064

Computed properties:
volume	155.48	Å³/cell

***

B.
The following is a PBE calculation of crystalline LiYSc at its relaxed geometry, from Alexandria via LeMat-Bulk.

Cell: 5.076 5.076 5.076 Å, 60.00 60.00 60.00°
Positions (direct):
Li 0.000 0.000 0.000
Sc 0.500 0.500 0.500
Y 0.250 0.250 0.250

Computed properties:
volume	92.49	Å³/cell

***

A comes first in stability; the runner-up is 904 meV per atom higher.